## Pr2InPb (GGA-PBE)

Data for a relaxed structure of Pr2InPb.

Summary:
Total energy in eV for the cell shown: -48.64
D(E_F) in states/eV per cell: 14.12

Lattice parameters (Å, degrees): 3.5261 3.5261 36.6911 90.00 90.00 120.00
With the nearest neighbours (Å) after each atom.
Positions (direct):
Pr (0.0000, 0.0000, 0.0903)  1 In 3.31, 3 Pb 3.46, 6 Pr 3.53
Pr (0.0000, 0.0000, 0.9097)  1 In 3.31, 3 Pb 3.46, 6 Pr 3.53
Pr (0.3333, 0.6667, 0.5764)  1 In 3.31, 3 Pb 3.46, 6 Pr 3.53
Pr (0.3333, 0.6667, 0.7569)  1 In 3.31, 3 Pb 3.46, 6 Pr 3.53
Pr (0.6667, 0.3333, 0.2431)  1 In 3.31, 3 Pb 3.46, 6 Pr 3.53
Pr (0.6667, 0.3333, 0.4236)  1 In 3.31, 3 Pb 3.46, 6 Pr 3.53
In (0.0000, 0.0000, 0.0000)  2 Pr 3.31, 6 In 3.53
In (0.3333, 0.6667, 0.6667)  2 Pr 3.31, 6 In 3.53
In (0.6667, 0.3333, 0.3333)  2 Pr 3.31, 6 In 3.53
Pb (0.0000, 0.0000, 0.5000)  6 Pr 3.46, 6 Pb 3.53
Pb (0.3333, 0.6667, 0.1667)  6 Pr 3.46, 6 Pb 3.53
Pb (0.6667, 0.3333, 0.8333)  6 Pr 3.46, 6 Pb 3.53


## Sm2ErPaRu2 (GGA-PBE)

Data for a relaxed structure of Sm2ErPaRu2.

Summary:
Total energy in eV for the cell shown: -87.75
D(E_F) in states/eV per cell: 13.95

Lattice parameters (Å, degrees): 8.3258 8.3258 8.3258 131.66 70.52 131.97
With the nearest neighbours (Å) after each atom.
Positions (direct):
Sm (0.1927, 0.2246, 0.4173)  1 Ru 2.86
Sm (0.3073, 0.7246, 0.0319)  1 Ru 2.86
Sm (0.6927, 0.2754, 0.9681)  1 Ru 2.86
Sm (0.8073, 0.7754, 0.5827)  1 Ru 2.86
Er (0.2500, 0.7500, 0.5000)  4 Ru 2.93
Er (0.7500, 0.2500, 0.5000)  4 Ru 2.93
Pa (0.2500, 0.2500, 0.0000)  4 Ru 2.60
Pa (0.7500, 0.7500, 0.0000)  4 Ru 2.60
Ru (0.0995, 0.7887, 0.8882)  2 Pa 2.60, 1 Sm 2.86
Ru (0.4005, 0.2887, 0.6892)  2 Pa 2.60, 1 Sm 2.86
Ru (0.5995, 0.7113, 0.3108)  2 Pa 2.60, 1 Sm 2.86
Ru (0.9005, 0.2113, 0.1118)  2 Pa 2.60, 1 Sm 2.86


## Tl2Pt2Se (GGA-PBE)

Data for a relaxed structure of Tl2Pt2Se.

Summary:
Relative energy among the computed polymorphs in kJ/mol of formula units: 0.0
E_form (uncorrected) in eV/f.u.: 0.2
Total energy in eV for the cell shown: -40.11
D(E_F) in states/eV per cell: 3.66

Lattice parameters (Å, degrees): 7.2697 7.2697 4.0005 90.00 90.00 90.00
With the nearest neighbours (Å) after each atom.
Positions (direct):
Tl (0.1641, 0.3359, 0.0000)  6 Pt 2.83-2.99
Tl (0.3359, 0.8359, 0.0000)  6 Pt 2.83-2.99
Tl (0.6641, 0.1641, 0.0000)  6 Pt 2.83-2.99
Tl (0.8359, 0.6641, 0.0000)  6 Pt 2.83-2.99
Pt (0.1407, 0.6407, 0.5000)  2 Se 2.80, 6 Tl 2.83-2.99, 1 Pt 2.89
Pt (0.3593, 0.1407, 0.5000)  2 Se 2.80, 6 Tl 2.83-2.99, 1 Pt 2.89
Pt (0.6407, 0.8593, 0.5000)  2 Se 2.80, 6 Tl 2.83-2.99, 1 Pt 2.89
Pt (0.8593, 0.3593, 0.5000)  2 Se 2.80, 6 Tl 2.83-2.99, 1 Pt 2.89
Se (0.0000, 0.0000, 0.5000)  4 Pt 2.80
Se (0.5000, 0.5000, 0.5000)  4 Pt 2.80


## NdSmHo2Tl4 (GGA-PBE)

Data for a relaxed structure of NdSmHo2Tl4.

Summary:
Total energy in eV for the cell shown: -30.93
D(E_F) in states/eV per cell: 6.31

Lattice parameters (Å, degrees): 9.4044 9.4044 9.4044 33.50 33.50 33.50
With the nearest neighbours (Å) after each atom.
Positions (direct):
Nd (0.0000, 0.0000, 0.0000)  8 Tl 3.32-3.34
Sm (0.5000, 0.5000, 0.5000)  8 Tl 3.31-3.32
Ho (0.2499, 0.2499, 0.2499)  8 Tl 3.31-3.34
Ho (0.7501, 0.7501, 0.7501)  8 Tl 3.31-3.34
Tl (0.1255, 0.1255, 0.1255)  4 Ho 3.31-3.32, 3 Sm 3.32, 1 Nd 3.34
Tl (0.3756, 0.3756, 0.3756)  1 Sm 3.31, 4 Ho 3.32-3.34, 3 Nd 3.32
Tl (0.6244, 0.6244, 0.6244)  1 Sm 3.31, 4 Ho 3.32-3.34, 3 Nd 3.32
Tl (0.8745, 0.8745, 0.8745)  4 Ho 3.31-3.32, 3 Sm 3.32, 1 Nd 3.34


no.,calculated volume (Å³ per cell)
1,395
2,314
3,211
4,226